# PBE-GGA TiCdC3, relaxed
data_TiCdC3
_symmetry_space_group_name_H-M 'P 1'
_symmetry_Int_Tables_number 1
_symmetry_space_group_name_Hall 'P 1'
_cell_length_a 4.0969
_cell_length_b 4.0969
_cell_length_c 4.0969
_cell_angle_alpha 90.00
_cell_angle_beta 90.00
_cell_angle_gamma 90.00
loop_
_atom_site_label
_atom_site_fract_x
_atom_site_fract_y
_atom_site_fract_z
_atom_site_occupancy
C1 0.5000 0.0000 0.0000 1
C2 0.0000 0.5000 0.0000 1
C3 0.0000 0.0000 0.5000 1
Cd1 0.5000 0.5000 0.5000 1
Ti1 0.0000 0.0000 0.0000 1
# * theoretical density: 4.74 g/cm3
# * DOS at the Fermi energy: 1.28 states/eV per cell
# * VASP energy: -5.4976 eV per atom
# * crystal system: cubic
# * formation energy from the elements: 1.799 eV per atom
# * volume: 68.8 Å³ per cell

# PBE-GGA Ti3CdC, relaxed
data_Ti3CdC
_symmetry_space_group_name_H-M 'P 1'
_symmetry_Int_Tables_number 1
_symmetry_space_group_name_Hall 'P 1'
_cell_length_a 7.7089
_cell_length_b 7.7089
_cell_length_c 7.7089
_cell_angle_alpha 40.46
_cell_angle_beta 40.46
_cell_angle_gamma 40.46
loop_
_atom_site_label
_atom_site_fract_x
_atom_site_fract_y
_atom_site_fract_z
_atom_site_occupancy
Ti1 0.2170 0.5438 0.8995 1
C1 0.8377 0.8377 0.8377 1
C2 0.1623 0.1623 0.1623 1
Cd1 0.3355 0.3355 0.3355 1
Cd2 0.6645 0.6645 0.6645 1
Ti2 0.7830 0.4562 0.1005 1
Ti3 0.8995 0.2170 0.5438 1
Ti4 0.4562 0.1005 0.7830 1
Ti5 0.1005 0.7830 0.4562 1
Ti6 0.5438 0.8995 0.2170 1
# * theoretical density: 5.12 g/cm3
# * DOS at the Fermi energy: 12.62 states/eV per cell
# * VASP energy: -6.9869 eV per atom
# * crystal system: trigonal
# * formation energy from the elements: -0.222 eV per atom
# * volume: 173.9 Å³ per cell

# PBE-GGA Ti3CdC, relaxed
data_Ti3CdC
_symmetry_space_group_name_H-M 'P 1'
_symmetry_Int_Tables_number 1
_symmetry_space_group_name_Hall 'P 1'
_cell_length_a 5.1504
_cell_length_b 3.0973
_cell_length_c 10.0148
_cell_angle_alpha 90.00
_cell_angle_beta 79.78
_cell_angle_gamma 90.00
loop_
_atom_site_label
_atom_site_fract_x
_atom_site_fract_y
_atom_site_fract_z
_atom_site_occupancy
Ti1 0.6932 0.0572 0.8828 1
Cd1 0.7064 0.5572 0.3829 1
C1 0.3216 0.0572 0.0148 1
C2 0.5891 0.5572 0.7571 1
Ti2 0.4640 0.0572 0.6406 1
Ti3 0.9622 0.5572 0.6383 1
Cd2 0.2043 0.0571 0.3890 1
Ti4 0.9484 0.0572 0.1337 1
Ti5 0.4468 0.5573 0.1312 1
Ti6 0.2175 0.5572 0.8891 1
# * theoretical density: 5.66 g/cm3
# * DOS at the Fermi energy: 7.48 states/eV per cell
# * VASP energy: -7.1095 eV per atom
# * crystal system: monoclinic
# * formation energy from the elements: -0.345 eV per atom
# * volume: 157.2 Å³ per cell

# PBE-GGA Ti3CdC, relaxed
data_Ti3CdC
_symmetry_space_group_name_H-M 'P 1'
_symmetry_Int_Tables_number 1
_symmetry_space_group_name_Hall 'P 1'
_cell_length_a 6.0305
_cell_length_b 6.0305
_cell_length_c 5.3467
_cell_angle_alpha 90.00
_cell_angle_beta 90.00
_cell_angle_gamma 122.94
loop_
_atom_site_label
_atom_site_fract_x
_atom_site_fract_y
_atom_site_fract_z
_atom_site_occupancy
C1 0.1522 0.8478 0.2500 1
Ti1 0.0382 0.4685 0.2500 1
Ti2 0.0000 0.0000 0.0000 1
Ti3 0.0000 0.0000 0.5000 1
Ti4 0.5315 0.9618 0.2500 1
Ti5 0.9618 0.5315 0.7500 1
Cd1 0.4520 0.5480 0.7500 1
Ti6 0.4685 0.0382 0.7500 1
C2 0.8478 0.1522 0.7500 1
Cd2 0.5480 0.4520 0.2500 1
# * theoretical density: 5.45 g/cm3
# * DOS at the Fermi energy: 7.33 states/eV per cell
# * VASP energy: -6.5497 eV per atom
# * crystal system: orthorhombic
# * formation energy from the elements: 0.215 eV per atom
# * volume: 163.2 Å³ per cell

# PBE-GGA TiCdC2, relaxed
data_TiCdC2
_symmetry_space_group_name_H-M 'P 1'
_symmetry_Int_Tables_number 1
_symmetry_space_group_name_Hall 'P 1'
_cell_length_a 5.5520
_cell_length_b 5.5520
_cell_length_c 5.3828
_cell_angle_alpha 58.95
_cell_angle_beta 58.95
_cell_angle_gamma 90.00
loop_
_atom_site_label
_atom_site_fract_x
_atom_site_fract_y
_atom_site_fract_z
_atom_site_occupancy
C1 0.3750 0.4111 0.7500 1
C2 0.8750 0.8389 0.7500 1
Cd1 0.0000 0.0000 0.0000 1
Ti1 0.5000 0.5000 0.0000 1
Ti2 0.2500 0.7500 0.5000 1
C3 0.5889 0.1250 0.2500 1
C4 0.1611 0.6250 0.2500 1
Cd2 0.7500 0.2500 0.5000 1
# * theoretical density: 5.39 g/cm3
# * DOS at the Fermi energy: 4.99 states/eV per cell
# * VASP energy: -5.8167 eV per atom
# * crystal system: tetragonal
# * formation energy from the elements: 0.998 eV per atom
# * volume: 113.5 Å³ per cell

# PBE-GGA Ti3CdC, relaxed
data_Ti3CdC
_symmetry_space_group_name_H-M 'P 1'
_symmetry_Int_Tables_number 1
_symmetry_space_group_name_Hall 'P 1'
_cell_length_a 4.9182
_cell_length_b 6.0359
_cell_length_c 5.2717
_cell_angle_alpha 90.00
_cell_angle_beta 89.74
_cell_angle_gamma 90.00
loop_
_atom_site_label
_atom_site_fract_x
_atom_site_fract_y
_atom_site_fract_z
_atom_site_occupancy
Ti1 0.7586 0.2500 0.6560 1
Ti2 0.2587 0.9996 0.8428 1
Ti3 0.2414 0.7500 0.3440 1
Cd1 0.7658 0.7500 0.6546 1
Ti4 0.2587 0.5004 0.8428 1
Ti5 0.7413 0.4996 0.1572 1
C1 0.4824 0.7500 0.0225 1
Ti6 0.7413 0.0004 0.1572 1
Cd2 0.2342 0.2500 0.3454 1
C2 0.5176 0.2500 0.9775 1
# * theoretical density: 5.69 g/cm3
# * DOS at the Fermi energy: 11.84 states/eV per cell
# * VASP energy: -6.9485 eV per atom
# * crystal system: monoclinic
# * formation energy from the elements: -0.184 eV per atom
# * volume: 156.5 Å³ per cell

# PBE-GGA Ti3CdC, relaxed
data_Ti3CdC
_symmetry_space_group_name_H-M 'P 1'
_symmetry_Int_Tables_number 1
_symmetry_space_group_name_Hall 'P 1'
_cell_length_a 2.9505
_cell_length_b 7.7140
_cell_length_c 7.7140
_cell_angle_alpha 136.27
_cell_angle_beta 90.00
_cell_angle_gamma 90.00
loop_
_atom_site_label
_atom_site_fract_x
_atom_site_fract_y
_atom_site_fract_z
_atom_site_occupancy
Cd1 0.5000 0.0953 0.9047 1
Ti1 0.5000 0.1711 0.3468 1
C1 0.0000 0.4296 0.5704 1
Ti2 0.5000 0.6532 0.8289 1
Ti3 0.0000 0.2790 0.7210 1
# * theoretical density: 3.67 g/cm3
# * DOS at the Fermi energy: 1.91 states/eV per cell
# * VASP energy: -6.3535 eV per atom
# * crystal system: orthorhombic
# * formation energy from the elements: 0.411 eV per atom
# * volume: 121.4 Å³ per cell

# PBE-GGA Ti4Cd2C, relaxed
data_Ti4Cd2C
_symmetry_space_group_name_H-M 'P 1'
_symmetry_Int_Tables_number 1
_symmetry_space_group_name_Hall 'P 1'
_cell_length_a 4.2151
_cell_length_b 4.2151
_cell_length_c 7.5844
_cell_angle_alpha 73.87
_cell_angle_beta 73.87
_cell_angle_gamma 90.00
loop_
_atom_site_label
_atom_site_fract_x
_atom_site_fract_y
_atom_site_fract_z
_atom_site_occupancy
Ti1 0.0000 0.5000 0.0000 1
Ti2 0.1505 0.1505 0.6989 1
Ti3 0.8495 0.8495 0.3011 1
Ti4 0.5000 0.0000 0.0000 1
Cd1 0.6433 0.6433 0.7134 1
C1 0.0000 0.0000 0.0000 1
Cd2 0.3567 0.3567 0.2866 1
# * theoretical density: 5.74 g/cm3
# * DOS at the Fermi energy: 6.57 states/eV per cell
# * VASP energy: -6.1916 eV per atom
# * crystal system: tetragonal
# * formation energy from the elements: -0.101 eV per atom
# * volume: 123.9 Å³ per cell

# PBE-GGA Ti3CdC, relaxed
data_Ti3CdC
_symmetry_space_group_name_H-M 'P 1'
_symmetry_Int_Tables_number 1
_symmetry_space_group_name_Hall 'P 1'
_cell_length_a 4.9154
_cell_length_b 4.9154
_cell_length_c 4.9154
_cell_angle_alpha 90.00
_cell_angle_beta 90.00
_cell_angle_gamma 90.00
loop_
_atom_site_label
_atom_site_fract_x
_atom_site_fract_y
_atom_site_fract_z
_atom_site_occupancy
Ti1 0.0000 0.5000 0.0000 1
Ti2 0.0000 0.0000 0.5000 1
C1 0.5000 0.5000 0.5000 1
Cd1 0.0000 0.0000 0.0000 1
Ti3 0.5000 0.0000 0.0000 1
# * theoretical density: 3.75 g/cm3
# * DOS at the Fermi energy: 4.81 states/eV per cell
# * VASP energy: -4.3810 eV per atom
# * crystal system: cubic
# * formation energy from the elements: 2.384 eV per atom
# * volume: 118.8 Å³ per cell

# PBE-GGA Ti3CdC, relaxed
data_Ti3CdC
_symmetry_space_group_name_H-M 'P 1'
_symmetry_Int_Tables_number 1
_symmetry_space_group_name_Hall 'P 1'
_cell_length_a 18.8414
_cell_length_b 5.4292
_cell_length_c 7.6446
_cell_angle_alpha 90.00
_cell_angle_beta 157.00
_cell_angle_gamma 90.00
loop_
_atom_site_label
_atom_site_fract_x
_atom_site_fract_y
_atom_site_fract_z
_atom_site_occupancy
Ti1 0.2762 0.5498 0.7759 1
Ti2 0.7762 0.9502 0.2759 1
C1 0.3825 0.8725 0.8825 1
C2 0.6175 0.1275 0.1175 1
C3 0.8825 0.6275 0.3825 1
Ti3 0.6569 0.7506 0.6565 1
Ti4 0.2238 0.0498 0.7241 1
C4 0.1175 0.3725 0.6175 1
Ti5 0.0448 0.7347 0.5446 1
Cd1 0.5818 0.2505 0.5819 1
Ti6 0.4552 0.2347 0.9554 1
Cd2 0.4182 0.7495 0.4181 1
Ti7 0.5448 0.7653 0.0446 1
Ti8 0.9552 0.2653 0.4554 1
Ti9 0.1569 0.7494 0.1565 1
Cd3 0.9182 0.7505 0.9181 1
Cd4 0.0818 0.2495 0.0819 1
Ti10 0.7238 0.4502 0.2241 1
Ti11 0.3431 0.2494 0.3435 1
Ti12 0.8431 0.2506 0.8435 1
# * theoretical density: 5.83 g/cm3
# * DOS at the Fermi energy: 22.41 states/eV per cell
# * VASP energy: -6.8683 eV per atom
# * crystal system: orthorhombic
# * formation energy from the elements: -0.104 eV per atom
# * volume: 305.5 Å³ per cell

# PBE-GGA TiCd3C, relaxed
data_TiCd3C
_symmetry_space_group_name_H-M 'P 1'
_symmetry_Int_Tables_number 1
_symmetry_space_group_name_Hall 'P 1'
_cell_length_a 4.5915
_cell_length_b 4.5915
_cell_length_c 4.5915
_cell_angle_alpha 90.00
_cell_angle_beta 90.00
_cell_angle_gamma 90.00
loop_
_atom_site_label
_atom_site_fract_x
_atom_site_fract_y
_atom_site_fract_z
_atom_site_occupancy
Cd1 0.0000 0.5000 0.0000 1
Cd2 0.5000 0.0000 0.0000 1
Cd3 0.0000 0.0000 0.5000 1
C1 0.0000 0.0000 0.0000 1
Ti1 0.5000 0.5000 0.5000 1
# * theoretical density: 6.81 g/cm3
# * DOS at the Fermi energy: 5.29 states/eV per cell
# * VASP energy: -2.9163 eV per atom
# * crystal system: cubic
# * formation energy from the elements: 1.056 eV per atom
# * volume: 96.8 Å³ per cell